The following is a DFT calculation (PBE) of a relaxed Ac12NdSn4 crystal.

## Properties
The calculation puts the total energy at -4.053 eV/atom. The density of states at the Fermi level is 33.857 states/eV/f.u. The crystal system is cubic. The total magnetization comes out at 0.01 Bohr magnetons per cell.

Cell: 10.2093 10.2093 10.2093 Å, 109.47 109.47 109.47°
Closest atoms and distances in Å follow each position.
Positions (direct):
Ac 0.8351 0.6718 0.5069  2 Sn 3.25
Ac 0.1634 0.8351 0.3282  2 Sn 3.25
Sn 0.5000 0.5000 0.5000  6 Ac 3.25
Ac 0.5069 0.8351 0.6718  2 Sn 3.25
Ac 0.1649 0.3282 0.4931  2 Sn 3.25
Sn 0.5000 0.0000 0.0000  6 Ac 3.25
Ac 0.6718 0.5069 0.8351  2 Sn 3.25
Ac 0.3282 0.4931 0.1649  2 Sn 3.25
Ac 0.4931 0.1649 0.3282  2 Sn 3.25
Ac 0.8366 0.1649 0.6718  2 Sn 3.25
Ac 0.3282 0.1634 0.8351  2 Sn 3.25
Ac 0.8351 0.3282 0.1634  2 Sn 3.25
Ac 0.1649 0.6718 0.8366  2 Sn 3.25
Sn 0.0000 0.5000 0.0000  6 Ac 3.25
Sn 0.0000 0.0000 0.5000  6 Ac 3.25
Nd 0.0000 0.0000 0.0000  12 Ac 4.33
Ac 0.6718 0.8366 0.1649  2 Sn 3.25